No. 1
First-principles (PBE) data for KNa7In2 after structural relaxation, as listed in the Alexandria database.

Computed properties:
- Energy: -14.99 eV/f.u.
- Total moment: 0.00 μB per formula unit
- DFT formation energy: 0.08 eV per atom

abc: 4.9377 9.1660 9.1660
angles: 101.32 90.00 90.00
Fractional positions:
Na: 0.5000 0.3947 0.1237
Na: 0.5000 0.5000 0.5000
Na: 0.5000 0.8763 0.6053
Na: 0.5000 0.6053 0.8763
Na: 0.0000 0.6600 0.3399
Na: 0.0000 0.3400 0.6600
Na: 0.5000 0.1237 0.3947
In: 0.5000 0.2110 0.7890
In: 0.5000 0.7890 0.2110
K: 0.0000 0.0000 0.0000

No. 2
First-principles (PBE) data for KNa6In2 after structural relaxation, as listed in the Alexandria database.

Computed properties:
- Energy: -14.67 eV/f.u.
- Total moment: 0.00 μB per formula unit
- DFT formation energy: -0.02 eV per atom

abc: 9.6381 9.6381 9.6381
angles: 97.55 109.21 122.65
Fractional positions:
Na: 0.2941 0.6051 0.3110
Na: 0.9131 0.7045 0.2085
Na: 0.7614 0.7600 0.5213
Na: 0.5040 0.2955 0.2085
Na: 0.7614 0.2400 0.0014
Na: 0.7059 0.0169 0.3110
Na: 0.2386 0.7600 0.9986
Na: 0.2941 0.9831 0.6890
Na: 0.2386 0.2400 0.4787
Na: 0.7059 0.3949 0.6890
Na: 0.4960 0.7045 0.7915
Na: 0.0869 0.2955 0.7915
K: 0.0000 0.0000 0.0000
K: 0.0000 0.5000 0.5000
In: 0.5000 0.6141 0.1141
In: 0.5000 0.3859 0.8859
In: 0.3670 0.0000 0.3670
In: 0.6330 0.0000 0.6330

No. 3
First-principles (PBE) data for KNa3In after structural relaxation, as listed in the Alexandria database.

Computed properties:
- Energy: -5.32 eV/f.u.
- Energy relative to the lowest polymorph listed for this composition: 11.806 kcal/mol of atoms
- Total moment: 0.00 μB per formula unit
- DFT formation energy: 0.49 eV per atom

abc: 6.2410 6.2410 6.2410
angles: 90.00 90.00 90.00
Fractional positions:
Na: 0.5000 0.0000 0.0000
Na: 0.0000 0.5000 0.0000
Na: 0.0000 0.0000 0.5000
K: 0.0000 0.0000 0.0000
In: 0.5000 0.5000 0.5000

No. 4
First-principles (PBE) data for K7Na12In after structural relaxation, as listed in the Alexandria database.

Computed properties:
- Energy: -21.27 eV/f.u.
- Total moment: 0.96 μB per formula unit
- DFT formation energy: 0.25 eV per atom

abc: 11.7890 11.7890 11.7890
angles: 109.47 109.47 109.47
Last column: magnetic moment on the atom in μB.
Fractional positions:
Na: 0.6342 0.2563 0.8905  0.00
Na: 0.3658 0.7437 0.1095  0.00
Na: 0.1095 0.3658 0.7437  0.00
Na: 0.2563 0.6221 0.3658  0.00
Na: 0.6221 0.3658 0.2563  0.00
Na: 0.8905 0.6342 0.2563  0.00
Na: 0.3658 0.2563 0.6221  0.00
Na: 0.2563 0.8905 0.6342  0.00
Na: 0.7437 0.3779 0.6342  0.00
Na: 0.3779 0.6342 0.7437  0.00
Na: 0.6342 0.7437 0.3779  0.00
Na: 0.7437 0.1095 0.3658  0.00
K: 0.5000 0.5000 0.0000  0.00
K: 0.5000 0.5000 0.5000  0.00
K: 0.0000 0.0000 0.5000  0.00
K: 0.5000 0.0000 0.5000  0.00
K: 0.5000 0.0000 0.0000  0.00
K: 0.0000 0.5000 0.0000  0.00
K: 0.0000 0.5000 0.5000  0.00
In: 0.0000 0.0000 0.0000  0.14

Copy entry 4 word for word.
First-principles (PBE) data for K7Na12In after structural relaxation, as listed in the Alexandria database.

Computed properties:
- Energy: -21.27 eV/f.u.
- Total moment: 0.96 μB per formula unit
- DFT formation energy: 0.25 eV per atom

abc: 11.7890 11.7890 11.7890
angles: 109.47 109.47 109.47
Last column: magnetic moment on the atom in μB.
Fractional positions:
Na: 0.6342 0.2563 0.8905  0.00
Na: 0.3658 0.7437 0.1095  0.00
Na: 0.1095 0.3658 0.7437  0.00
Na: 0.2563 0.6221 0.3658  0.00
Na: 0.6221 0.3658 0.2563  0.00
Na: 0.8905 0.6342 0.2563  0.00
Na: 0.3658 0.2563 0.6221  0.00
Na: 0.2563 0.8905 0.6342  0.00
Na: 0.7437 0.3779 0.6342  0.00
Na: 0.3779 0.6342 0.7437  0.00
Na: 0.6342 0.7437 0.3779  0.00
Na: 0.7437 0.1095 0.3658  0.00
K: 0.5000 0.5000 0.0000  0.00
K: 0.5000 0.5000 0.5000  0.00
K: 0.0000 0.0000 0.5000  0.00
K: 0.5000 0.0000 0.5000  0.00
K: 0.5000 0.0000 0.0000  0.00
K: 0.0000 0.5000 0.0000  0.00
K: 0.0000 0.5000 0.5000  0.00
In: 0.0000 0.0000 0.0000  0.14